Below is a geometry-optimized Y2AlCo structure, with properties calculated at the PBE-GGA level.

a b c (Å): 6.1000 6.1000 8.7061
angles (deg): 90.00 90.00 147.95
Each line ends with the local moment (μB).
Fractional coordinates of all 8 atoms:
Y (0.6313, 0.3687, 0.9358)  -0.03
Y (0.3687, 0.6313, 0.0642)  -0.03
Y (0.6313, 0.3687, 0.5642)  -0.03
Y (0.3687, 0.6313, 0.4358)  -0.03
Co (0.7297, 0.2703, 0.2500)  0.27
Co (0.2703, 0.7297, 0.7500)  0.27
Al (0.9251, 0.0749, 0.7500)  0.00
Al (0.0749, 0.9251, 0.2500)  0.00

## Properties
calculated formation energy: -0.218 eV/atom
space group: Cmcm (63)
mass density: 5.094 g cm⁻³
E_tot: -6.162 eV/atom



Below is a geometry-optimized K4Sc6F19 structure, with properties calculated at the PBE-GGA level.

a b c (Å): 8.6793 8.6793 8.6793
angles (deg): 109.47 109.47 109.47
Each line ends with the local moment (μB).
Fractional coordinates of all 29 atoms:
Sc (0.1463, 0.6463, 0.5000)  0.41
Sc (0.5000, 0.1463, 0.6463)  0.41
Sc (0.8537, 0.3537, 0.5000)  0.41
Sc (0.6463, 0.5000, 0.1463)  0.41
Sc (0.5000, 0.8537, 0.3537)  0.41
Sc (0.3537, 0.5000, 0.8537)  0.41
F (0.6531, 0.7083, 0.3572)  0.00
F (0.0000, 0.3438, 0.3438)  0.01
F (0.2917, 0.9448, 0.6488)  0.00
F (0.0000, 0.6562, 0.6562)  0.01
F (0.3438, 0.0000, 0.3438)  0.01
F (0.7040, 0.0552, 0.3469)  0.00
F (0.6562, 0.0000, 0.6562)  0.01
F (0.6488, 0.2917, 0.9448)  0.00
F (0.6428, 0.3512, 0.2960)  0.00
F (0.3438, 0.3438, 0.0000)  0.01
F (0.3469, 0.7040, 0.0552)  0.00
F (0.3512, 0.2960, 0.6428)  0.00
F (0.7083, 0.3572, 0.6531)  0.00
F (0.2960, 0.6428, 0.3512)  0.00
F (0.0000, 0.0000, 0.0000)  0.00
F (0.3572, 0.6531, 0.7083)  0.00
F (0.0552, 0.3469, 0.7040)  0.00
F (0.9448, 0.6488, 0.2917)  0.00
F (0.6562, 0.6562, 0.0000)  0.01
K (0.0000, 0.7107, 0.0000)  0.00
K (0.0000, 0.0000, 0.7107)  0.00
K (0.2893, 0.2893, 0.2893)  0.00
K (0.7107, 0.0000, 0.0000)  0.00

## Properties
space group: I23 (197)
formation energy (no corrections): -3.4843 eV per atom
mass density: 2.597 g cm⁻³
E_tot: -6.172 eV/atom



Below is a geometry-optimized AcNd8Sn6 structure, with properties calculated at the PBE-GGA level.

a b c (Å): 9.4653 9.4653 8.5872
angles (deg): 56.56 56.56 60.00
Fractional coordinates of all 15 atoms:
Sn (0.0682, 0.7278, 0.7943)
Sn (0.9318, 0.2722, 0.2057)
Sn (0.5902, 0.9318, 0.2057)
Sn (0.4098, 0.0682, 0.7943)
Sn (0.7278, 0.4098, 0.7943)
Sn (0.2722, 0.5902, 0.2057)
Ac (0.0000, 0.0000, 0.0000)
Nd (0.4329, 0.7732, 0.6889)
Nd (0.6676, 0.6676, 0.9972)
Nd (0.2268, 0.8950, 0.3111)
Nd (0.1050, 0.4329, 0.6889)
Nd (0.3324, 0.3324, 0.0028)
Nd (0.7732, 0.1050, 0.6889)
Nd (0.8950, 0.5671, 0.3111)
Nd (0.5671, 0.2268, 0.3111)

## Properties
calculated formation energy: -0.565 eV/atom
space group: R-3 (148)
mass density: 6.763 g cm⁻³
E_tot: -4.983 eV/atom



Below is a geometry-optimized NpGa4Pt2 structure, with properties calculated at the PBE-GGA level.

a b c (Å): 4.4313 7.5968 7.5968
angles (deg): 90.00 90.00 90.00
Each line ends with the local moment (μB).
Fractional coordinates of all 14 atoms:
Ga (0.5000, 0.5914, 0.1612)  0.01
Ga (0.0000, 0.6612, 0.9086)  0.01
Ga (0.5000, 0.1612, 0.5914)  0.01
Ga (0.0000, 0.3388, 0.0914)  0.01
Ga (0.5000, 0.4086, 0.8388)  0.01
Ga (0.5000, 0.8388, 0.4086)  0.01
Ga (0.0000, 0.9086, 0.6612)  0.01
Ga (0.0000, 0.0914, 0.3388)  0.01
Np (0.5000, 0.0000, 0.0000)  3.95
Np (0.0000, 0.5000, 0.5000)  3.95
Pt (0.0000, 0.2183, 0.7817)  -0.02
Pt (0.5000, 0.7183, 0.7183)  -0.02
Pt (0.0000, 0.7817, 0.2183)  -0.02
Pt (0.5000, 0.2817, 0.2817)  -0.02

## Properties
calculated formation energy: -0.435 eV/atom
space group: P4_2/mnm (136)
mass density: 11.766 g cm⁻³
E_tot: -5.740 eV/atom



Below is a geometry-optimized Co2SiRh structure, with properties calculated at the PBE-GGA level.

a b c (Å): 4.2985 4.2985 4.2985
angles (deg): 128.49 128.49 75.83
Each line ends with the local moment (μB).
Fractional coordinates of all 4 atoms:
Rh (0.5000, 0.5000, 0.0000)  0.23
Co (0.2500, 0.7500, 0.5000)  1.51
Co (0.0000, 0.0000, 0.0000)  0.94
Si (0.7500, 0.2500, 0.5000)  -0.03

## Properties
space group: I-4m2 (119)
formation energy (no corrections): -0.3159 eV per atom
mass density: 8.733 g cm⁻³
E_tot: -7.062 eV/atom



Below is a geometry-optimized NaTeBrO2 structure, with properties calculated at the PBE-GGA level.

a b c (Å): 4.1220 6.8636 7.5409
angles (deg): 78.53 90.00 90.00
Fractional coordinates of all 10 atoms:
Te (0.2500, 0.8425, 0.9074)
Te (0.7500, 0.1575, 0.0926)
Br (0.7500, 0.5195, 0.2630)
Br (0.2500, 0.4805, 0.7370)
O (0.7500, 0.9396, 0.9317)
O (0.2500, 0.0604, 0.0683)
O (0.7500, 0.0087, 0.3252)
O (0.2500, 0.9913, 0.6748)
Na (0.2500, 0.8188, 0.4203)
Na (0.7500, 0.1812, 0.5797)

## Properties
space group: P2_1/m (11)
formation energy (no corrections): -1.1853 eV per atom
mass density: 4.169 g cm⁻³
E_tot: -4.395 eV/atom



Looking at spin magnetization for the records above, in order, we have 0.4; 3.0; 0.0; 8.6; 2.6; 0.0 μB/cell.